# 1
Entry from Alexandria: a relaxed structure of NiMo2Os (PBE).

Properties
Distance to the lowest polymorph of the same formula = 58 meV/atom
Calculated formation energy = 0.0472 eV/atom

Lattice parameters (Å, degrees): 2.729 2.729 7.689 90.00 90.00 90.00
Element x y z (fractional)
Ni (0.500, 0.500, 0.250)
Mo (0.000, 0.000, 0.006)
Mo (0.000, 0.000, 0.494)
Os (0.500, 0.500, 0.750)

=====

# 2
Entry from Alexandria: a relaxed structure of Tl2Ga2Te (PBE).

Properties
Distance to the lowest polymorph of the same formula = 0 meV/atom

Lattice parameters (Å, degrees): 7.778 7.778 4.608 90.00 90.00 90.00
Element x y z (fractional)
Ga (0.871, 0.629, 0.000)
Ga (0.129, 0.371, 0.000)
Ga (0.629, 0.129, 0.000)
Ga (0.371, 0.871, 0.000)
Tl (0.675, 0.825, 0.500)
Tl (0.825, 0.325, 0.500)
Tl (0.325, 0.175, 0.500)
Tl (0.175, 0.675, 0.500)
Te (0.000, 0.000, 0.000)
Te (0.500, 0.500, 0.000)

=====

# 3
Entry from Alexandria: a relaxed structure of Pm3Al2Cu (PBE).

Properties
Calculated formation energy = -0.2962 eV/atom

Lattice parameters (Å, degrees): 3.528 3.528 11.770 90.00 90.00 90.00
Element x y z (fractional)
Pm (0.000, 0.000, 0.000)
Pm (0.000, 0.000, 0.655)
Pm (0.000, 0.000, 0.345)
Al (0.500, 0.500, 0.825)
Al (0.500, 0.500, 0.175)
Cu (0.500, 0.500, 0.500)

=====

# 4
Entry from Alexandria: a relaxed structure of LiGdAgPd (PBE).

Properties
Calculated formation energy = -0.4076 eV/atom

Lattice parameters (Å, degrees): 4.849 4.849 4.849 60.00 60.00 60.00
Site moments in Bohr magnetons follow the coordinates.
Element x y z (fractional)
Ag (0.250, 0.250, 0.250)  0.01
Pd (0.750, 0.750, 0.750)  0.02
Li (0.500, 0.500, 0.500)  0.01
Gd (0.000, 0.000, 0.000)  7.07

=====

# 5
Entry from Alexandria: a relaxed structure of ErSc7Ga4 (PBE).

Properties
Calculated formation energy = -0.2155 eV/atom

Lattice parameters (Å, degrees): 5.104 8.493 6.886 78.12 68.25 72.51
Element x y z (fractional)
Ga (0.437, 0.771, 0.355)
Ga (0.563, 0.229, 0.645)
Ga (0.316, 0.329, 0.039)
Ga (0.684, 0.671, 0.961)
Sc (0.216, 0.124, 0.444)
Sc (0.308, 0.629, 0.756)
Sc (0.784, 0.876, 0.556)
Sc (0.692, 0.371, 0.244)
Sc (0.500, 0.000, 0.000)
Sc (0.937, 0.385, 0.741)
Sc (0.063, 0.615, 0.259)
Er (0.000, 0.000, 0.000)

=====

# 6
Entry from Alexandria: a relaxed structure of LiThRh2 (PBE).

Properties
Calculated formation energy = -0.7155 eV/atom

Lattice parameters (Å, degrees): 3.803 4.303 4.303 90.00 90.00 90.00
Element x y z (fractional)
Rh (0.000, 0.000, 0.500)
Rh (0.000, 0.500, 0.000)
Th (0.500, 0.500, 0.500)
Li (0.500, 0.000, 0.000)

=====

# 7
Entry from Alexandria: a relaxed structure of TlReAuO2 (PBE).

Properties
Distance to the lowest polymorph of the same formula = 0 meV/atom

Lattice parameters (Å, degrees): 3.877 3.877 5.659 90.00 90.00 90.00
Element x y z (fractional)
Tl (0.500, 0.500, 0.500)
Au (0.000, 0.000, 0.500)
O (0.500, 0.000, 0.000)
O (0.000, 0.500, 0.000)
Re (0.000, 0.000, 0.000)

=====

# 8
Entry from Alexandria: a relaxed structure of Er3Zn2Pd8 (PBE).

Properties
Calculated formation energy = -0.5906 eV/atom

Lattice parameters (Å, degrees): 5.385 5.385 10.166 74.64 74.64 60.00
Element x y z (fractional)
Pd (0.732, 0.732, 0.308)
Pd (0.732, 0.227, 0.308)
Pd (0.268, 0.773, 0.692)
Pd (0.227, 0.732, 0.308)
Pd (0.268, 0.268, 0.692)
Pd (0.285, 0.285, 0.146)
Pd (0.715, 0.715, 0.854)
Pd (0.773, 0.268, 0.692)
Zn (0.367, 0.367, 0.898)
Zn (0.633, 0.633, 0.102)
Er (0.191, 0.191, 0.428)
Er (0.809, 0.809, 0.572)
Er (0.000, 0.000, 0.000)

=====

# 9
Entry from Alexandria: a relaxed structure of SrBrCl2 (PBE).

Properties
Distance to the lowest polymorph of the same formula = 0 meV/atom

Lattice parameters (Å, degrees): 5.444 4.969 5.243 63.62 90.00 90.00
Element x y z (fractional)
Cl (0.500, 0.401, 0.200)
Cl (0.000, 0.945, 0.133)
Sr (0.000, 0.275, 0.478)
Br (0.500, 0.880, 0.690)

=====

# 10
Entry from Alexandria: a relaxed structure of NbRhAu (PBE).

Properties
Distance to the lowest polymorph of the same formula = 111 meV/atom
Calculated formation energy = -0.1910 eV/atom

Lattice parameters (Å, degrees): 2.871 4.496 4.496 120.00 90.00 90.00
Element x y z (fractional)
Nb (0.766, 0.333, 0.667)
Rh (0.904, 0.000, 0.000)
Au (0.330, 0.667, 0.333)

=====

# 11
Entry from Alexandria: a relaxed structure of LiZr4S8 (PBE).

Properties
E_tot = -89.2 eV per formula unit

Lattice parameters (Å, degrees): 7.492 7.492 7.492 60.00 60.00 60.00
Element x y z (fractional)
Zr (0.372, 0.372, 0.372)
Zr (0.372, 0.372, 0.883)
Zr (0.883, 0.372, 0.372)
Zr (0.372, 0.883, 0.372)
Li (0.750, 0.750, 0.750)
S (0.130, 0.610, 0.130)
S (0.144, 0.619, 0.619)
S (0.619, 0.144, 0.619)
S (0.619, 0.619, 0.619)
S (0.619, 0.619, 0.144)
S (0.130, 0.130, 0.130)
S (0.610, 0.130, 0.130)
S (0.130, 0.130, 0.610)

=====

# 12
Entry from Alexandria: a relaxed structure of LaDy6Se8 (PBE).

Properties
Distance to the lowest polymorph of the same formula = 0 meV/atom

Lattice parameters (Å, degrees): 8.159 8.159 8.159 60.00 60.00 60.00
Element x y z (fractional)
Se (0.738, 0.262, 0.738)
Se (0.262, 0.262, 0.738)
Se (0.750, 0.750, 0.750)
Se (0.262, 0.738, 0.738)
Se (0.738, 0.262, 0.262)
Se (0.738, 0.738, 0.262)
Se (0.250, 0.250, 0.250)
Se (0.262, 0.738, 0.262)
Dy (0.000, 0.000, 0.500)
Dy (0.000, 0.500, 0.000)
Dy (0.500, 0.500, 0.000)
Dy (0.500, 0.000, 0.000)
Dy (0.000, 0.500, 0.500)
Dy (0.500, 0.000, 0.500)
La (0.000, 0.000, 0.000)

=====

# 13
Entry from Alexandria: a relaxed structure of SmAlFe4 (PBE).

Properties
Calculated formation energy = -0.0623 eV/atom

Lattice parameters (Å, degrees): 4.996 4.996 4.996 60.00 60.00 60.00
Site moments in Bohr magnetons follow the coordinates.
Element x y z (fractional)
Fe (0.121, 0.626, 0.626)  2.03
Fe (0.626, 0.626, 0.626)  2.03
Fe (0.626, 0.626, 0.121)  2.03
Fe (0.626, 0.121, 0.626)  2.03
Al (0.000, 0.000, 0.000)  -0.05
Sm (0.250, 0.250, 0.250)  -0.27

=====

# 14
Entry from Alexandria: a relaxed structure of Al2HPt8 (PBE).

Properties
E_tot = -63.5 eV per formula unit

Lattice parameters (Å, degrees): 4.688 5.516 7.123 107.61 103.26 104.93
Element x y z (fractional)
Pt (0.549, 0.352, 0.000)
Pt (0.122, 0.342, 0.241)
Pt (0.076, 0.818, 0.212)
Pt (0.522, 0.847, 0.000)
Pt (0.246, 0.818, 0.600)
Pt (0.881, 0.101, 0.759)
Pt (0.864, 0.606, 0.788)
Pt (0.646, 0.218, 0.400)
Al (0.268, 0.346, 0.620)
Al (0.648, 0.726, 0.380)
H (0.175, 0.159, 0.000)

=====

# 15
Entry from Alexandria: a relaxed structure of ScCdCl2 (PBE).

Properties
Distance to the lowest polymorph of the same formula = 156 meV/atom

Lattice parameters (Å, degrees): 3.575 3.533 10.050 90.26 90.00 90.00
Element x y z (fractional)
Cl (0.000, 0.247, 0.077)
Cl (0.000, 0.253, 0.423)
Sc (0.500, 0.250, 0.250)
Cd (0.500, 0.750, 0.750)

=====

# 16
Entry from Alexandria: a relaxed structure of H3Rh3Au (PBE).

Properties
E_tot = -34.2 eV per formula unit

Lattice parameters (Å, degrees): 5.237 5.237 5.237 90.00 90.00 90.00
Element x y z (fractional)
Rh (0.000, 0.750, 0.500)
Rh (0.500, 0.000, 0.250)
Rh (0.250, 0.500, 0.000)
Rh (0.500, 0.000, 0.750)
Rh (0.000, 0.250, 0.500)
Rh (0.750, 0.500, 0.000)
H (0.500, 0.250, 0.000)
H (0.750, 0.000, 0.500)
H (0.000, 0.500, 0.250)
H (0.000, 0.500, 0.750)
H (0.500, 0.750, 0.000)
H (0.250, 0.000, 0.500)
Au (0.500, 0.500, 0.500)
Au (0.000, 0.000, 0.000)

=====

# 17
Entry from Alexandria: a relaxed structure of CsPtN3 (PBE).

Properties
E_tot = -13.9 eV per formula unit

Lattice parameters (Å, degrees): 4.347 4.347 4.347 90.00 90.00 90.00
Site moments in Bohr magnetons follow the coordinates.
Element x y z (fractional)
N (0.000, 0.000, 0.500)  0.54
N (0.000, 0.500, 0.000)  0.64
N (0.500, 0.000, 0.000)  0.52
Pt (0.500, 0.500, 0.500)  0.97
Cs (0.000, 0.000, 0.000)  0.00

=====

# 18
Entry from Alexandria: a relaxed structure of CeMgB5O10 (PBE).

Properties
E_tot = -135.8 eV per formula unit

Lattice parameters (Å, degrees): 7.667 8.855 9.523 87.65 90.00 90.00
Site moments in Bohr magnetons follow the coordinates.
Element x y z (fractional)
B (0.186, 0.571, 0.915)  0.00
B (0.814, 0.429, 0.085)  0.00
B (0.968, 0.782, 0.947)  0.00
B (0.918, 0.588, 0.766)  0.00
B (0.032, 0.218, 0.053)  0.00
B (0.172, 0.013, 0.891)  0.00
B (0.082, 0.412, 0.234)  0.00
B (0.404, 0.848, 0.994)  0.00
B (0.468, 0.718, 0.553)  0.00
B (0.828, 0.987, 0.109)  0.00
B (0.328, 0.513, 0.391)  0.00
B (0.904, 0.652, 0.506)  0.00
B (0.314, 0.071, 0.415)  0.00
B (0.672, 0.487, 0.609)  0.00
B (0.096, 0.348, 0.494)  0.00
B (0.418, 0.912, 0.734)  0.00
B (0.686, 0.929, 0.585)  0.00
B (0.532, 0.282, 0.447)  0.00
B (0.596, 0.152, 0.006)  0.00
B (0.582, 0.088, 0.266)  0.00
O (0.153, 0.004, 0.431)  0.00
O (0.475, 0.411, 0.354)  0.00
O (0.654, 0.186, 0.373)  0.00
O (0.346, 0.814, 0.627)  0.00
O (0.653, 0.496, 0.069)  0.00
O (0.847, 0.996, 0.569)  0.00
O (0.539, 0.231, 0.889)  -0.01
O (0.720, 0.974, 0.239)  0.00
O (0.919, 0.488, 0.188)  0.00
O (0.220, 0.526, 0.261)  0.00
O (0.581, 0.988, 0.688)  0.00
O (0.873, 0.311, 0.009)  0.00
O (0.975, 0.089, 0.146)  0.00
O (0.280, 0.026, 0.761)  0.00
O (0.605, 0.332, 0.585)  0.00
O (0.025, 0.911, 0.854)  0.00
O (0.223, 0.459, 0.511)  0.00
O (0.777, 0.541, 0.489)  0.00
O (0.373, 0.189, 0.491)  0.00
O (0.780, 0.474, 0.739)  0.00
O (0.627, 0.811, 0.509)  0.00
O (0.464, 0.817, 0.862)  0.00
O (0.419, 0.012, 0.312)  0.00
O (0.154, 0.314, 0.127)  0.00
O (0.536, 0.183, 0.138)  0.00
O (0.347, 0.504, 0.931)  0.00
O (0.964, 0.683, 0.638)  0.00
O (0.081, 0.512, 0.812)  0.00
O (0.105, 0.168, 0.915)  0.00
O (0.723, 0.041, 0.989)  0.00
O (0.277, 0.959, 0.011)  0.00
O (0.127, 0.689, 0.991)  0.00
O (0.461, 0.769, 0.111)  -0.01
O (0.525, 0.589, 0.646)  0.00
O (0.961, 0.731, 0.389)  -0.01
O (0.846, 0.686, 0.873)  0.00
O (0.039, 0.269, 0.611)  -0.01
O (0.036, 0.317, 0.362)  0.00
O (0.395, 0.668, 0.415)  0.00
O (0.895, 0.832, 0.085)  0.00
Ce (0.812, 0.186, 0.763)  0.97
Ce (0.188, 0.814, 0.237)  0.97
Ce (0.688, 0.686, 0.263)  0.97
Ce (0.312, 0.314, 0.737)  0.97
Mg (0.912, 0.108, 0.377)  0.00
Mg (0.588, 0.608, 0.877)  0.00
Mg (0.412, 0.392, 0.123)  0.00
Mg (0.088, 0.892, 0.623)  0.00

=====

# 19
Entry from Alexandria: a relaxed structure of TeH (PBE).

Properties
Distance to the lowest polymorph of the same formula = 738 meV/atom

Lattice parameters (Å, degrees): 4.949 4.949 4.949 90.00 90.00 90.00
Element x y z (fractional)
Te (0.000, 0.500, 0.000)
Te (0.500, 0.000, 0.000)
Te (0.500, 0.500, 0.500)
Te (0.000, 0.000, 0.500)
H (0.000, 0.500, 0.500)
H (0.500, 0.000, 0.500)
H (0.500, 0.500, 0.000)
H (0.000, 0.000, 0.000)

=====

# 20
Entry from Alexandria: a relaxed structure of NbHgI2N (PBE).

Properties
Distance to the lowest polymorph of the same formula = 1461 meV/atom

Lattice parameters (Å, degrees): 6.146 6.146 3.908 90.00 90.00 90.00
Site moments in Bohr magnetons follow the coordinates.
Element x y z (fractional)
I (0.500, 0.000, 0.000)  -0.09
I (0.000, 0.500, 0.000)  -0.09
Nb (0.500, 0.500, 0.500)  2.77
Hg (0.000, 0.000, 0.000)  0.00
N (0.000, 0.000, 0.500)  0.03